GGA-PBE Cd3WCl, relaxed; V = 124.5 Å³/cell; offset from the most stable computed form = 563 meV per atom; symmetry = No. 221; Fermi-level density of states = 4.9 states/eV/f.u.
1.0
4.993 0.000 0.000
0.000 4.993 0.000
0.000 0.000 4.993
Cl W Cd
1 1 3
direct
0.000 0.000 0.000
0.500 0.500 0.500
0.000 0.500 0.000
0.000 0.000 0.500
0.500 0.000 0.000